[1]
DFT (GGA-PBE) results for an optimized crystal structure of PmHo8Ir6.

Computed properties:
* crystal system: trigonal
* ΔE_f: -18.11 kcal/mol of atoms

```
15
Lattice="6.982 0.025 3.129 2.037 6.678 3.129 0.034 0.025 7.651" Properties=species:S:1:pos:R:3 pbc="T T T"
Ir 7.824 4.085 6.979
Ir 5.168 0.414 5.445
Ir 1.228 2.644 6.931
Ir 3.884 6.314 8.465
Ir 4.837 1.899 9.980
Ir 4.215 4.830 3.930
Ho 5.652 5.965 6.218
Ho 2.712 3.693 9.231
Ho 6.691 1.533 7.686
Ho 6.023 4.477 9.256
Ho 3.400 0.763 7.692
Ho 3.029 2.251 4.654
Ho 2.361 5.196 6.224
Ho 6.340 3.035 4.679
Pm 0.000 0.000 0.000
```

[2]
DFT (GGA-PBE) results for an optimized crystal structure of BaSbCl2.

Computed properties:
* raw formation energy: -1133 meV per atom
* crystal system: tetragonal
* energy above the most stable polymorph in this dataset: 0.67 eV/f.u.

```
8
Lattice="5.258 0.000 0.000 0.000 5.258 0.000 2.629 2.629 9.865" Properties=species:S:1:pos:R:3 pbc="T T T"
Sb 2.629 2.629 0.000
Sb 2.629 5.258 4.933
Ba 0.000 0.000 0.000
Ba 5.258 2.629 4.933
Cl 3.943 4.102 7.399
Cl 1.473 3.943 2.466
Cl 3.785 1.314 2.466
Cl 6.572 6.413 7.399
```

[3]
DFT (GGA-PBE) results for an optimized crystal structure of CaFeBi3.

Computed properties:
* crystal system: cubic
* energy above the most stable polymorph in this dataset: 4.74 eV/f.u.
* ΔE_f: 25.36 kcal/mol of atoms

```
5
Lattice="5.766 0.000 0.000 0.000 5.766 0.000 0.000 0.000 5.766" Properties=species:S:1:pos:R:3 pbc="T T T"
Bi 0.000 2.883 0.000
Bi 2.883 0.000 0.000
Bi 0.000 0.000 2.883
Ca 0.000 0.000 0.000
Fe 2.883 2.883 2.883
```